(1)
Below is a relaxed NdNiGe2 crystal, with properties calculated at the PBE-GGA level.

The space group is R-3m (No. 166, hexagonal axes) and the conventional cell measures 4.0644, 4.0644 and 15.9742 Å, with angles of 90.00, 90.00 and 120.00 degrees. The inequivalent atoms are Nd at (0.0000, 0.0000, 0.0000), Ni at (0.0000, 0.0000, 0.5000) and Ge at (0.0000, 0.0000, 0.2149).

The formation energy is -2.7 eV per formula unit. The density of states at the Fermi level is 3.72 states/eV per cell.



(2)
Below is a relaxed SrB12 crystal, with properties calculated at the PBE-GGA level.

The space group is Fm-3m (No. 225) and the conventional cell measures 7.613, 7.613 and 7.613 Å, with angles of 90.00, 90.00 and 90.00 degrees. The inequivalent atoms are Sr at (0.000, 0.000, 0.000) and B at (0.000, 0.168, 0.332).

The formation energy is -0.6 eV per formula unit. The density of states at the Fermi level is 12.17 states/eV per cell. The value obtained for the energy above the most stable polymorph in this dataset is 0 meV/atom.



(3)
Below is a relaxed ZnAu4 crystal, with properties calculated at the PBE-GGA level.

The space group is Pm-3m (No. 221) and the conventional cell measures 4.788, 4.788 and 4.788 Å, with angles of 90.00, 90.00 and 90.00 degrees. The inequivalent atoms are Zn at (0.000, 0.000, 0.000), Au at (0.000, 0.000, 0.500) and Au at (0.500, 0.500, 0.500).

The formation energy is 2.8 eV per formula unit. The density of states at the Fermi level is 2.71 states/eV per cell.



(4)
Below is a relaxed CeTlGe crystal, with properties calculated at the PBE-GGA level.

The space group is Cmcm (No. 63) and the conventional cell measures 4.341, 18.498 and 3.971 Å, with angles of 90.00, 90.00 and 90.00 degrees. The inequivalent atoms are Ce at (0.000, 0.089, 0.250), Tl at (0.000, 0.287, 0.250) and Ge at (0.000, 0.455, 0.250).

The formation energy is -1.2 eV per formula unit. The density of states at the Fermi level is 29.07 states/eV per cell. The value obtained for the energy above the most stable polymorph in this dataset is 0 meV/atom.



(5)
Below is a relaxed InNi crystal, with properties calculated at the PBE-GGA level.

The space group is I4/m (No. 87) and the conventional cell measures 9.138, 9.138 and 3.612 Å, with angles of 90.00, 90.00 and 90.00 degrees. The inequivalent atoms are In at (0.122, 0.200, 0.000) and Ni at (0.084, 0.605, 0.000).

The formation energy is 0.1 eV per formula unit. The density of states at the Fermi level is 12.53 states/eV per cell.



(6)
Below is a relaxed Ac2Cd4Ag5 crystal, with properties calculated at the PBE-GGA level.

The space group is C2/m (No. 12) and the conventional cell measures 13.395, 5.808 and 9.297 Å, with angles of 90.00, 127.58 and 90.00 degrees. The inequivalent atoms are Ac at (0.206, 0.000, 0.261), Cd at (0.133, 0.000, 0.565), Cd at (0.235, 0.500, 0.055), Ag at (0.000, 0.500, 0.000) and Ag at (0.026, 0.256, 0.751).

The formation energy is -1.0 eV per formula unit. The density of states at the Fermi level is 11.04 states/eV per cell.



(7)
Below is a relaxed La2NdThS4 crystal, with properties calculated at the PBE-GGA level.

The space group is P2/m (No. 10) and the conventional cell measures 7.110, 4.096 and 7.111 Å, with angles of 90.00, 109.44 and 90.00 degrees. The inequivalent atoms are La at (0.000, 0.000, 0.000), La at (0.000, 0.500, 0.500), Nd at (0.500, 0.000, 0.500), Th at (0.500, 0.500, 0.000), S at (0.257, 0.000, 0.753) and S at (0.257, 0.500, 0.251).

For the formation energy from raw total energies, the calculation gives -2.0496 eV per atom. The density of states at the Fermi level is 3.71 states/eV per cell.



(8)
Below is a relaxed ScNiMo crystal, with properties calculated at the PBE-GGA level.

The space group is Pm (No. 6) and the conventional cell measures 4.537, 3.282 and 6.845 Å, with angles of 90.00, 109.24 and 90.00 degrees. The inequivalent atoms are Sc at (0.000, 0.000, 0.000), Sc at (0.326, 0.000, 0.649), Ni at (0.160, 0.500, 0.314), Ni at (0.499, 0.500, 0.001), Mo at (0.663, 0.000, 0.322) and Mo at (0.809, 0.500, 0.613).

The formation energy is -0.3 eV per formula unit. The density of states at the Fermi level is 6.25 states/eV per cell. The value obtained for the energy above the most stable polymorph in this dataset is 20 meV/atom.



(9)
Below is a relaxed Rb2HfNi crystal, with properties calculated at the PBE-GGA level.

The space group is I-42d (No. 122) and the conventional cell measures 13.199, 13.199 and 4.678 Å, with angles of 90.00, 90.00 and 90.00 degrees. The inequivalent atoms are Rb at (0.081, 0.250, 0.125), Hf at (0.000, 0.000, 0.500) and Ni at (0.000, 0.000, 0.000).

The formation energy is 3.9 eV per formula unit. The density of states at the Fermi level is 25.17 states/eV per cell. The value obtained for the energy above the most stable polymorph in this dataset is 0 meV/atom.



(10)
Below is a relaxed Li2GaRe2 crystal, with properties calculated at the PBE-GGA level.

The space group is P4/mbm (No. 127) and the conventional cell measures 6.719, 6.719 and 3.262 Å, with angles of 90.00, 90.00 and 90.00 degrees. The inequivalent atoms are Li at (0.175, 0.325, 0.000), Ga at (0.000, 0.000, 0.500) and Re at (0.121, 0.621, 0.500).

The formation energy is 2.5 eV per formula unit. The density of states at the Fermi level is 4.28 states/eV per cell. The value obtained for the energy above the most stable polymorph in this dataset is 0 meV/atom.



(11)
Below is a relaxed LiAc2TmSe5 crystal, with properties calculated at the PBE-GGA level.

The space group is Cmc2_1 (No. 36) and the conventional cell measures 4.296, 17.846 and 12.633 Å, with angles of 90.00, 90.00 and 90.00 degrees. The inequivalent atoms are Li at (0.000, 0.049, 0.000), Ac at (0.000, 0.373, 0.839), Ac at (0.000, 0.393, 0.220), Tm at (0.000, 0.301, 0.543), Se at (0.000, 0.002, 0.316), Se at (0.000, 0.142, 0.535), Se at (0.000, 0.190, 0.893), Se at (0.000, 0.215, 0.195) and Se at (0.000, 0.449, 0.597).

For the formation energy from raw total energies, the calculation gives -1.8640 eV per atom.